Here is crystalline NdNiSnH2 at its relaxed geometry from the Alexandria database. Energies are from PBEsol.

Summary:
- density (g/cm³) = 7.90
- raw total energy (eV/atom) = -5.04

Cell lengths 4.3282, 4.3282, 8.3870 Å; angles 90.00, 90.00, 120.00 degrees
With the nearest neighbours (Å) after each atom.
Fractional positions:
Nd  0.0000  0.0000  0.0000  6 H 2.55
Nd  0.0000  0.0000  0.5000  6 H 2.55
Ni  0.3333  0.6667  0.2500  2 H 1.59
Ni  0.6667  0.3333  0.7500  2 H 1.59
Sn  0.3333  0.6667  0.7500  3 Ni 2.50, 2 H 2.60
Sn  0.6667  0.3333  0.2500  3 Ni 2.50, 2 H 2.60
H  0.3333  0.6667  0.0604  1 Ni 1.59
H  0.3333  0.6667  0.4396  1 Ni 1.59
H  0.6667  0.3333  0.5604  1 Ni 1.59
H  0.6667  0.3333  0.9396  1 Ni 1.59